[1]
! La2Pm3Ni4 (PBE, relaxed); values from VASP
! Space group = No. 14
! Mass density = 7373 kg/m³
! ΔH_f (0 K) = -0.2824 eV/atom
! E = -5.53 eV/atom
&SYSTEM
  ibrav = 0, nat = 18, ntyp = 3
/
ATOMIC_SPECIES
La 138.91 La.upf
Ni 58.69 Ni.upf
Pm 145.00 Pm.upf
CELL_PARAMETERS angstrom
-6.046 -0.640 5.427
2.557 -6.845 -1.237
4.861 0.820 5.513
ATOMIC_POSITIONS angstrom
La 0.739 -1.319 1.282
Ni 3.949 -5.902 2.035
Pm 3.709 -3.013 2.138
Pm -1.745 -3.742 2.095
Ni 4.885 -2.748 4.843
Ni -1.190 -6.579 2.349
La 0.633 -5.345 8.420
Pm -0.953 -5.428 4.951
Ni 2.562 -0.086 7.354
Ni 0.587 -3.283 6.111
Ni -3.513 -3.917 4.860
Ni -2.577 -0.763 7.668
La -1.557 -1.517 4.821
Ni 0.785 -3.382 3.592
Pm 1.263 -5.244 1.323
Pm 0.109 -1.421 8.380
La 2.928 -5.148 4.882
Pm 2.325 -1.237 4.751

***

[2]
! LaZn2Os (PBE, relaxed); values from VASP
! Space group = No. 12
! Mass density = 9362 kg/m³
! ΔH_f (0 K) = -0.0444 eV/atom
! E = -4.72 eV/atom
&SYSTEM
  ibrav = 0, nat = 4, ntyp = 3
/
ATOMIC_SPECIES
La 138.91 La.upf
Os 190.23 Os.upf
Zn 65.41 Zn.upf
CELL_PARAMETERS angstrom
4.766 -0.003 0.001
3.190 3.541 0.001
1.423 0.633 4.831
ATOMIC_POSITIONS angstrom
La 7.034 3.128 3.625
Os 2.345 1.043 1.208
Zn 7.871 3.500 0.603
Zn 4.774 2.123 1.816

***

[3]
! AlGaNO2 (PBE, relaxed); values from VASP
! Space group = No. 123
! Mass density = 4554 kg/m³
! E_form (uncorrected) = -0.667 eV per atom
! E = -5.67 eV/atom
&SYSTEM
  ibrav = 0, nat = 5, ntyp = 4
/
ATOMIC_SPECIES
O 16.00 O.upf
Al 26.98 Al.upf
N 14.01 N.upf
Ga 69.72 Ga.upf
CELL_PARAMETERS angstrom
-2.163 2.802 0.607
-0.385 -1.038 3.417
3.192 2.238 1.040
ATOMIC_POSITIONS angstrom
O -1.081 1.401 0.304
Al 0.000 0.000 0.000
O -0.193 -0.519 1.708
N 1.596 1.119 0.520
Ga 0.322 2.001 2.532

***

> Number 1 is which compound?

La2Pm3Ni4